*1*
A geometry-optimized Na7Tl4Sn structure, computed with GGA-PBE.

Lattice parameters (Å, degrees): 5.8788 9.4720 8.1179 62.76 68.77 71.92
Fractional positions:
Tl: 0.6730 0.6328 0.0212
Tl: 0.3270 0.3672 0.9788
Tl: 0.5544 0.3047 0.5865
Tl: 0.4456 0.6953 0.4135
Sn: 0.0000 0.0000 0.0000
Na: 0.7745 0.2451 0.2060
Na: 0.5000 0.0000 0.0000
Na: 0.2255 0.7549 0.7940
Na: 0.1757 0.1423 0.5063
Na: 0.8243 0.8577 0.4937
Na: 0.0780 0.5861 0.2579
Na: 0.9220 0.4139 0.7421

Properties
**Space group**: C2/m, No. 12

*2*
A geometry-optimized Na7Tl4Sn structure, computed with GGA-PBE.

Lattice parameters (Å, degrees): 5.4540 5.4556 13.4275 89.97 89.99 119.99
Fractional positions:
Tl: 0.6666 0.3333 0.3350
Tl: 0.3334 0.6667 0.6650
Tl: 0.6667 0.3333 0.0892
Tl: 0.3333 0.6667 0.9108
Na: 0.0000 0.0000 0.2598
Na: 0.0000 0.0000 0.7402
Na: 0.0000 0.0000 0.0000
Na: 0.6667 0.3334 0.8436
Na: 0.3333 0.6666 0.1564
Na: 0.3333 0.6667 0.4251
Na: 0.6667 0.3333 0.5749
Sn: 0.0000 0.0000 0.5000

Properties
**Space group**: C2/m, No. 12

Order from most stable to least stable according to the calculation: *2*, *1*